A geometry-optimized Na3LiNp2Se6 structure. Source: the Alexandria database, functional PBE. Values from VASP.

Its magnetization is 6.0 μB/f.u. Its space group is C2/m, No. 12. The final energy is -5.5774 eV/atom.

```
&SYSTEM
  ibrav = 0, nat = 12, ntyp = 4
/
ATOMIC_SPECIES
Na 22.99 Na.upf
Se 78.96 Se.upf
Np 237.00 Np.upf
Li 6.94 Li.upf
ATOMIC_POSITIONS crystal
Na 0.500 0.500 0.500
Na 0.163 0.837 0.500
Na 0.837 0.163 0.500
Se 0.075 0.417 0.225
Se 0.417 0.075 0.225
Se 0.583 0.925 0.775
Se 0.734 0.734 0.226
Se 0.925 0.583 0.775
Se 0.266 0.266 0.774
Np 0.333 0.667 0.000
Np 0.667 0.333 0.000
Li 0.000 0.000 0.000
CELL_PARAMETERS angstrom
-5.798 3.746 -1.862
-0.696 -6.683 2.443
1.650 3.388 6.253
```

=====

A geometry-optimized NiW structure. Source: the Alexandria database, functional PBE. Values from VASP.

Its magnetization is 0.3 μB/f.u. Its space group is I4_1/amd, No. 141. The final energy is -9.1783 eV/atom. The formation energy comes out at 189 meV/atom.

```
&SYSTEM
  ibrav = 0, nat = 4, ntyp = 2
/
ATOMIC_SPECIES
W 183.84 W.upf
Ni 58.69 Ni.upf
ATOMIC_POSITIONS crystal
W 0.750 0.500 0.750
W 0.500 0.000 0.500
Ni 0.250 0.500 0.250
Ni 0.000 0.000 0.000
CELL_PARAMETERS angstrom
3.757 0.000 0.000
-1.879 4.297 0.016
0.000 1.633 3.388
```

=====

A geometry-optimized CsNaPuCl6 structure. Source: the Alexandria database, functional PBE. Values from VASP.

Its magnetization is 4.0 μB/f.u. Its space group is P-31c, No. 163. The final energy is -4.8976 eV/atom.

```
&SYSTEM
  ibrav = 0, nat = 18, ntyp = 4
/
ATOMIC_SPECIES
Cl 35.45 Cl.upf
Cs 132.91 Cs.upf
Pu 244.00 Pu.upf
Na 22.99 Na.upf
ATOMIC_POSITIONS crystal
Cl 0.357 0.383 0.849
Cl 0.383 0.357 0.349
Cl 0.643 0.026 0.349
Cl 0.357 0.974 0.651
Cl 0.617 0.643 0.651
Cl 0.026 0.383 0.651
Cl 0.026 0.643 0.849
Cl 0.383 0.026 0.151
Cl 0.974 0.357 0.151
Cl 0.617 0.974 0.849
Cl 0.643 0.617 0.151
Cl 0.974 0.617 0.349
Cs 0.000 0.000 0.500
Cs 0.000 0.000 0.000
Pu 0.333 0.667 0.750
Pu 0.667 0.333 0.250
Na 0.667 0.333 0.750
Na 0.333 0.667 0.250
CELL_PARAMETERS angstrom
-5.068 3.396 -3.836
-1.840 -5.349 4.465
-1.814 10.063 11.306
```